## CrHg4 (GGA-PBE)

Data for a relaxed CrHg4 crystal.

Cell lengths 5.537, 5.537, 5.537 Å; angles 98.81, 98.81, 133.93 degrees
Fractional coordinates of all 5 atoms:
Cr: 0.000 0.000 0.000
Hg: 0.208 0.602 0.810
Hg: 0.398 0.208 0.606
Hg: 0.602 0.792 0.394
Hg: 0.792 0.398 0.190

Total DFT energy (no corrections), eV for the cell shown: -9.38
DFT formation energy, eV/atom: 0.29
Magnetization, μB per cell: 4.54


## LiEr2Cu12Ni3 (GGA-PBE)

Data for a relaxed LiEr2Cu12Ni3 crystal.

Cell lengths 6.315, 6.315, 6.315 Å; angles 83.00, 83.00, 83.00 degrees
Fractional coordinates of all 18 atoms:
Li: 0.000 0.000 0.000
Er: 0.255 0.255 0.255
Er: 0.745 0.745 0.745
Cu: 0.146 0.578 0.578
Cu: 0.197 0.197 0.722
Cu: 0.197 0.722 0.197
Cu: 0.278 0.803 0.803
Cu: 0.422 0.422 0.854
Cu: 0.422 0.854 0.422
Cu: 0.578 0.146 0.578
Cu: 0.578 0.578 0.146
Cu: 0.722 0.197 0.197
Cu: 0.803 0.278 0.803
Cu: 0.803 0.803 0.278
Cu: 0.854 0.422 0.422
Ni: 0.000 0.000 0.500
Ni: 0.000 0.500 0.000
Ni: 0.500 0.000 0.000

Total DFT energy (no corrections), eV for the cell shown: -77.73
DFT formation energy, eV/atom: -0.01
Magnetization, μB per cell: 0.00


## CuIr2Pt (GGA-PBE)

Data for a relaxed CuIr2Pt crystal.

Cell lengths 4.695, 4.695, 4.695 Å; angles 131.43, 131.43, 71.14 degrees
Fractional coordinates of all 4 atoms:
Cu: 0.000 0.000 0.000
Ir: 0.250 0.750 0.500
Ir: 0.500 0.500 0.000
Pt: 0.750 0.250 0.500

Total DFT energy (no corrections), eV for the cell shown: -27.70
DFT formation energy, eV/atom: 0.04
Polymorph energy (0 for the lowest one), meV/atom: 36
Magnetization, μB per cell: 0.00


## LiTl2RhN (GGA-PBE)

Data for a relaxed LiTl2RhN crystal.

Cell lengths 5.248, 5.248, 4.697 Å; angles 90.00, 90.00, 90.00 degrees
Fractional coordinates of all 5 atoms:
Li: 0.000 0.000 0.000
Tl: 0.000 0.500 0.500
Tl: 0.500 0.000 0.500
Rh: 0.000 0.000 0.500
N: 0.500 0.500 0.000

Total DFT energy (no corrections), eV for the cell shown: -17.63
Magnetization, μB per cell: 2.06


## FeRe5 (GGA-PBE)

Data for a relaxed FeRe5 crystal.

Cell lengths 2.730, 2.730, 11.536 Å; angles 90.00, 90.00, 90.00 degrees
Fractional coordinates of all 6 atoms:
Fe: 0.000 0.000 0.000
Re: 0.000 0.000 0.329
Re: 0.000 0.000 0.671
Re: 0.500 0.500 0.151
Re: 0.500 0.500 0.500
Re: 0.500 0.500 0.849

Total DFT energy (no corrections), eV for the cell shown: -70.12
DFT formation energy, eV/atom: 0.10
Polymorph energy (0 for the lowest one), meV/atom: 67
Magnetization, μB per cell: 0.14


## Pm3MgCu8 (GGA-PBE)

Data for a relaxed Pm3MgCu8 crystal.

Cell lengths 9.113, 9.113, 9.113 Å; angles 33.55, 33.55, 33.55 degrees
Fractional coordinates of all 12 atoms:
Pm: 0.000 0.000 0.000
Pm: 0.125 0.125 0.125
Pm: 0.615 0.615 0.615
Mg: 0.493 0.493 0.493
Cu: 0.053 0.053 0.564
Cu: 0.053 0.564 0.053
Cu: 0.064 0.558 0.558
Cu: 0.307 0.307 0.307
Cu: 0.558 0.064 0.558
Cu: 0.558 0.558 0.064
Cu: 0.564 0.053 0.053
Cu: 0.809 0.809 0.809

Total DFT energy (no corrections), eV for the cell shown: -50.36
DFT formation energy, eV/atom: -0.15
Magnetization, μB per cell: 0.00


## BaMg6In2 (GGA-PBE)

Data for a relaxed BaMg6In2 crystal.

Cell lengths 4.837, 4.837, 10.417 Å; angles 90.00, 90.00, 90.00 degrees
Fractional coordinates of all 9 atoms:
Ba: 0.000 0.000 0.000
Mg: 0.000 0.000 0.500
Mg: 0.000 0.500 0.304
Mg: 0.000 0.500 0.696
Mg: 0.500 0.000 0.304
Mg: 0.500 0.000 0.696
Mg: 0.500 0.500 0.500
In: 0.500 0.500 0.141
In: 0.500 0.500 0.859

Total DFT energy (no corrections), eV for the cell shown: -18.38
DFT formation energy, eV/atom: -0.16
Magnetization, μB per cell: 0.00


## Ba2ZnOsN (GGA-PBE)

Data for a relaxed Ba2ZnOsN crystal.

Cell lengths 5.831, 5.831, 3.825 Å; angles 90.00, 90.00, 90.00 degrees
Fractional coordinates of all 5 atoms:
Ba: 0.000 0.500 0.000
Ba: 0.500 0.000 0.000
Zn: 0.000 0.000 0.500
Os: 0.500 0.500 0.500
N: 0.500 0.500 0.000

Total DFT energy (no corrections), eV for the cell shown: -25.74
Magnetization, μB per cell: 0.00


## Mg14VFe (GGA-PBE)

Data for a relaxed Mg14VFe crystal.

Cell lengths 6.251, 6.251, 9.967 Å; angles 90.00, 90.00, 120.00 degrees
Fractional coordinates of all 16 atoms:
Mg: 0.000 0.000 0.248
Mg: 0.000 0.000 0.752
Mg: 0.013 0.506 0.255
Mg: 0.013 0.506 0.745
Mg: 0.332 0.166 0.500
Mg: 0.337 0.168 0.000
Mg: 0.494 0.506 0.255
Mg: 0.494 0.506 0.745
Mg: 0.494 0.987 0.255
Mg: 0.494 0.987 0.745
Mg: 0.832 0.168 0.000
Mg: 0.832 0.663 0.000
Mg: 0.834 0.166 0.500
Mg: 0.834 0.668 0.500
V: 0.333 0.667 0.000
Fe: 0.333 0.667 0.500

Total DFT energy (no corrections), eV for the cell shown: -37.59
DFT formation energy, eV/atom: 0.14
Magnetization, μB per cell: 6.11


## Sm3Hg2Au3 (GGA-PBE)

Data for a relaxed Sm3Hg2Au3 crystal.

Cell lengths 10.654, 10.654, 10.654 Å; angles 159.60, 152.25, 34.68 degrees
Fractional coordinates of all 8 atoms:
Sm: 0.000 0.000 0.000
Sm: 0.367 0.867 0.500
Sm: 0.633 0.133 0.500
Hg: 0.237 0.237 0.000
Hg: 0.763 0.763 0.000
Au: 0.117 0.617 0.500
Au: 0.500 0.500 0.000
Au: 0.883 0.383 0.500

Total DFT energy (no corrections), eV for the cell shown: -29.62
DFT formation energy, eV/atom: -0.63
Polymorph energy (0 for the lowest one), meV/atom: 0
Magnetization, μB per cell: 0.00


## NaSbAsI2 (GGA-PBE)

Data for a relaxed NaSbAsI2 crystal.

Cell lengths 6.065, 6.065, 5.321 Å; angles 90.00, 90.00, 90.00 degrees
Fractional coordinates of all 5 atoms:
Na: 0.000 0.000 0.000
Sb: 0.500 0.500 0.000
As: 0.500 0.500 0.500
I: 0.000 0.500 0.500
I: 0.500 0.000 0.500

Total DFT energy (no corrections), eV for the cell shown: -13.24
Polymorph energy (0 for the lowest one), meV/atom: 0
Magnetization, μB per cell: 0.53


## Pa4TcTe2S (GGA-PBE)

Data for a relaxed Pa4TcTe2S crystal.

Cell lengths 7.109, 3.971, 7.554 Å; angles 90.00, 107.35, 90.00 degrees
Fractional coordinates of all 8 atoms:
Pa: 0.232 0.000 0.203
Pa: 0.265 0.500 0.795
Pa: 0.735 0.500 0.205
Pa: 0.768 0.000 0.797
Tc: 0.000 0.500 0.000
Te: 0.000 0.000 0.500
Te: 0.500 0.500 0.500
S: 0.500 0.000 0.000

Total DFT energy (no corrections), eV for the cell shown: -65.11
Magnetization, μB per cell: 0.00


## Rb3YAg2F9 (GGA-PBE)

Data for a relaxed Rb3YAg2F9 crystal.

Cell lengths 6.409, 6.409, 8.010 Å; angles 90.00, 90.00, 120.00 degrees
Fractional coordinates of all 15 atoms:
Rb: 0.000 0.000 0.000
Rb: 0.333 0.667 0.710
Rb: 0.667 0.333 0.290
Y: 0.000 0.000 0.500
Ag: 0.333 0.667 0.167
Ag: 0.667 0.333 0.833
F: 0.000 0.500 0.000
F: 0.159 0.317 0.339
F: 0.159 0.841 0.339
F: 0.317 0.159 0.661
F: 0.500 0.000 0.000
F: 0.500 0.500 0.000
F: 0.683 0.841 0.339
F: 0.841 0.159 0.661
F: 0.841 0.683 0.661

Total DFT energy (no corrections), eV for the cell shown: -70.63
Magnetization, μB per cell: 1.07


## Pa6Si2C (GGA-PBE)

Data for a relaxed Pa6Si2C crystal.

Cell lengths 6.542, 6.542, 10.412 Å; angles 90.00, 90.00, 90.00 degrees
Fractional coordinates of all 18 atoms:
Pa: 0.203 0.203 0.158
Pa: 0.203 0.203 0.842
Pa: 0.246 0.246 0.500
Pa: 0.254 0.746 0.000
Pa: 0.297 0.703 0.342
Pa: 0.297 0.703 0.658
Pa: 0.703 0.297 0.342
Pa: 0.703 0.297 0.658
Pa: 0.746 0.254 0.000
Pa: 0.754 0.754 0.500
Pa: 0.797 0.797 0.158
Pa: 0.797 0.797 0.842
Si: 0.000 0.000 0.350
Si: 0.000 0.000 0.650
Si: 0.500 0.500 0.150
Si: 0.500 0.500 0.850
C: 0.000 0.000 0.000
C: 0.500 0.500 0.500

Total DFT energy (no corrections), eV for the cell shown: -151.45
Magnetization, μB per cell: 0.00


## LiAl2Mo (GGA-PBE)

Data for a relaxed LiAl2Mo crystal.

Cell lengths 4.383, 4.383, 4.383 Å; angles 60.00, 60.00, 60.00 degrees
Fractional coordinates of all 4 atoms:
Li: 0.000 0.000 0.000
Al: 0.250 0.250 0.250
Al: 0.750 0.750 0.750
Mo: 0.500 0.500 0.500

Total DFT energy (no corrections), eV for the cell shown: -20.31
DFT formation energy, eV/atom: -0.02
Polymorph energy (0 for the lowest one), meV/atom: 170
Magnetization, μB per cell: 0.00


## Ca4Eu2P (GGA-PBE)

Data for a relaxed Ca4Eu2P crystal.

Cell lengths 11.399, 11.399, 11.399 Å; angles 152.46, 152.46, 39.34 degrees
Fractional coordinates of all 7 atoms:
Ca: 0.000 0.500 0.500
Ca: 0.130 0.130 0.000
Ca: 0.500 0.000 0.500
Ca: 0.870 0.870 0.000
Eu: 0.310 0.310 0.000
Eu: 0.690 0.690 0.000
P: 0.000 0.000 0.000

Total DFT energy (no corrections), eV for the cell shown: -35.14
DFT formation energy, eV/atom: -0.17
Magnetization, μB per cell: 16.42


## BRh2I (GGA-PBE)

Data for a relaxed BRh2I crystal.

Cell lengths 6.634, 6.634, 6.634 Å; angles 134.14, 134.14, 66.87 degrees
Fractional coordinates of all 8 atoms:
B: 0.000 0.000 0.000
B: 0.750 0.250 0.500
Rh: 0.023 0.625 0.898
Rh: 0.375 0.273 0.398
Rh: 0.727 0.125 0.102
Rh: 0.875 0.977 0.602
I: 0.250 0.750 0.500
I: 0.500 0.500 0.000

Total DFT energy (no corrections), eV for the cell shown: -44.05
Polymorph energy (0 for the lowest one), meV/atom: 0
Magnetization, μB per cell: 0.00